PBE AcGe, relaxed; E_tot = -40.6 eV/cell; DFT formation energy = -706.1 meV per atom
1.0
8.7410 0.0000 0.0000
0.0000 4.3483 0.0000
0.0000 0.0000 6.3555
Ac Ge
4 4
Direct
0.1814 0.2500 0.1184
0.3186 0.7500 0.6184
0.6814 0.2500 0.3816
0.8186 0.7500 0.8816
0.0354 0.2500 0.6272
0.4646 0.7500 0.1272
0.5354 0.2500 0.8728
0.9646 0.7500 0.3728


PBE LaAsRu2, relaxed; E_tot = -27.8 eV/cell; DFT formation energy = 70.8 meV per atom
1.0
3.0601 -4.4562 0.0000
3.0601 4.4562 0.0000
-1.5444 0.0000 2.6888
La As Ru
1 1 2
Direct
0.0000 0.0000 0.0000
0.5000 0.5000 0.0000
0.0000 0.5000 0.0000
0.5000 0.0000 0.0000


PBE LaPrYCd, relaxed; E above lowest polymorph = 0 meV per atom; E_tot = -17.7 eV/cell; DFT formation energy = -161.3 meV per atom
1.0
3.7302 0.0000 0.0000
0.0000 3.7302 0.0000
0.0000 0.0000 9.1703
La Pr Y Cd
1 1 1 1
Direct
0.0000 0.0000 0.0000
0.5000 0.5000 0.2855
0.0000 0.0000 0.5569
0.5000 0.5000 0.7600


PBE NiBiSe, relaxed; E_tot = -13.6 eV/cell; uncorrected formation energy = -0.46 eV/f.u.
1.0
3.1938 -1.8550 0.0000
3.1938 1.8550 0.0000
-2.1915 0.0000 5.7407
Ni Bi Se
1 1 1
Direct
0.0000 0.0000 0.0000
0.2275 0.2275 0.6904
0.3973 0.3973 0.1846


PBE Si2HgW, relaxed; E_tot = -21.9 eV/cell; uncorrected formation energy = 2.16 eV/f.u.
1.0
1.4343 0.8281 10.2043
-1.4343 0.8281 10.2043
0.0000 -1.6561 10.2043
Si Hg W
2 1 1
Direct
0.0000 0.0000 0.0000
0.2676 0.2676 0.2676
0.4869 0.4869 0.4869
0.7328 0.7328 0.7328


PBE TlAs3S, relaxed; E above lowest polymorph = 0 meV per atom; E_tot = -17.6 eV/cell; uncorrected formation energy = 2.88 eV/f.u.
1.0
4.9300 0.0000 0.0000
0.0000 4.9300 0.0000
0.0000 0.0000 4.9300
Tl As S
1 3 1
Direct
0.0000 0.0000 0.0000
0.0000 0.5000 0.5000
0.5000 0.0000 0.5000
0.5000 0.5000 0.0000
0.5000 0.5000 0.5000


- The lowest E_tot belongs to which entry?
  AcGe